# 1
Gd2YAl5 after structural relaxation, computed with PBE-GGA.

The total energy is -4.615 eV/atom. The spin magnetization comes out at 0.001 μB per atom. The volume is 22.1 A^3/atom.

The space group is Amm2 (No. 38) and the conventional cell measures 4.779, 6.723 and 11.028 Å, with angles of 90.00, 90.00 and 90.00 degrees. The inequivalent atoms are Gd at (0.000, 0.000, 0.000), Gd at (0.500, 0.000, 0.302), Y at (0.500, 0.000, 0.811), Al at (0.000, 0.000, 0.504), Al at (0.000, 0.224, 0.721) and Al at (0.500, 0.213, 0.564).

# 2
CsPuAl after structural relaxation, computed with PBE-GGA.

The total energy is -5.389 eV/atom. The spin magnetization comes out at 2.137 μB per atom. The value obtained for the energy above the most stable polymorph in this dataset is 0 meV/atom. The volume is 42.2 A^3/atom.

The space group is F-43m (No. 216) and the conventional cell measures 7.969, 7.969 and 7.969 Å, with angles of 90.00, 90.00 and 90.00 degrees. The inequivalent atoms are Cs at (0.000, 0.000, 0.000), Pu at (0.000, 0.000, 0.500) and Al at (0.250, 0.250, 0.750).

# 3
DyZrCS after structural relaxation, computed with PBE-GGA.

The total energy is -7.883 eV/atom. The spin magnetization comes out at 0.000 μB per atom. The value obtained for the energy above the most stable polymorph in this dataset is 20 meV/atom. The volume is 17.3 A^3/atom.

The space group is P-3m1 (No. 164) and the conventional cell measures 3.5569, 3.5569 and 12.6108 Å, with angles of 90.00, 90.00 and 120.00 degrees. The inequivalent atoms are Dy at (0.3333, 0.6667, 0.3925), Zr at (0.3333, 0.6667, 0.0960), C at (0.0000, 0.0000, 0.0000), C at (0.0000, 0.0000, 0.5000) and S at (0.3333, 0.6667, 0.7647).

# 4
NbFe after structural relaxation, computed with PBE-GGA.

The total energy is -8.849 eV/atom. The spin magnetization comes out at 1.044 μB per atom. The energy of formation comes out at 0.3523 eV per atom. The volume is 15.1 A^3/atom.

The space group is P-6m2 (No. 187) and the conventional cell measures 2.7842, 2.7842 and 4.5070 Å, with angles of 90.00, 90.00 and 120.00 degrees. The inequivalent atoms are Nb at (0.0000, 0.0000, 0.0000) and Fe at (0.3333, 0.6667, 0.5000).

# 5
AgPt3Pb5 after structural relaxation, computed with PBE-GGA.

The total energy is -4.395 eV/atom. The spin magnetization comes out at 0.000 μB per atom. The volume is 25.8 A^3/atom.

The space group is P6/mmm (No. 191) and the conventional cell measures 5.6455, 5.6455 and 8.4063 Å, with angles of 90.00, 90.00 and 120.00 degrees. The inequivalent atoms are Ag at (0.0000, 0.0000, 0.0000), Pt at (0.0000, 0.5000, 0.5000), Pb at (0.0000, 0.0000, 0.5000) and Pb at (0.3333, 0.6667, 0.1985).

# 6
Y2TaCoSi2 after structural relaxation, computed with PBE-GGA.

The total energy is -7.700 eV/atom. The spin magnetization comes out at 0.111 μB per atom. The volume is 19.0 A^3/atom.

The space group is P-4m2 (No. 115) and the conventional cell measures 3.923, 3.923 and 7.416 Å, with angles of 90.00, 90.00 and 90.00 degrees. The inequivalent atoms are Y at (0.000, 0.500, 0.155), Ta at (0.000, 0.000, 0.500), Co at (0.500, 0.500, 0.500) and Si at (0.000, 0.500, 0.724).

# 7
LiPtWAu after structural relaxation, computed with PBE-GGA.

The total energy is -5.996 eV/atom. The spin magnetization comes out at 0.000 μB per atom. The value obtained for the energy above the most stable polymorph in this dataset is 15 meV/atom. The volume is 15.1 A^3/atom.

The space group is F-43m (No. 216) and the conventional cell measures 6.231, 6.231 and 6.231 Å, with angles of 90.00, 90.00 and 90.00 degrees. The inequivalent atoms are Li at (0.000, 0.000, 0.000), Pt at (0.000, 0.000, 0.500), W at (0.250, 0.250, 0.750) and Au at (0.250, 0.250, 0.250).

# 8
Tb2TmIn3Ir2Pd after structural relaxation, computed with PBE-GGA.

The total energy is -5.734 eV/atom. The spin magnetization comes out at 0.001 μB per atom. The volume is 21.5 A^3/atom.

The space group is Amm2 (No. 38) and the conventional cell measures 3.870, 13.111 and 7.641 Å, with angles of 90.00, 90.00 and 90.00 degrees. The inequivalent atoms are Tb at (0.000, 0.206, 0.000), Tm at (0.000, 0.000, 0.385), In at (0.500, 0.000, 0.056), In at (0.500, 0.130, 0.665), Ir at (0.500, 0.165, 0.297) and Pd at (0.000, 0.000, 0.794).